Here is TlGe3C after structural relaxation from the Alexandria database. Energies are from PBE.

For the density of states at the Fermi level, the calculation gives 3.65 states/eV/f.u. The crystal system is cubic. The total energy comes out at -13.81 eV per formula unit. The size of the total moment is 1.42 Bohr magnetons per cell. As for the calculated formation energy: 2.326 eV per atom. The space group is Pm-3m. The energy above the most stable polymorph in this dataset comes out at 1.366 eV per atom.

a = 5.389 Å, b = 5.389 Å, c = 5.389 Å
α = 90.00°, β = 90.00°, γ = 90.00°
Each line ends with the local moment (μB).
Atoms (fractional coordinates):
1 C 0.500 0.500 0.500  0.85
2 Tl 0.000 0.000 0.000  0.01
3 Ge 0.000 0.500 0.000  -0.03
4 Ge 0.000 0.000 0.500  -0.11
5 Ge 0.500 0.000 0.000  -0.04



Here is Y3ScGa after structural relaxation from the Alexandria database. Energies are from PBE.

For the density of states at the Fermi level, the calculation gives 10.75 states/eV/f.u. The crystal system is cubic. The total energy comes out at -27.86 eV per formula unit. The size of the total moment is 0.61 Bohr magnetons per cell. As for the calculated formation energy: 0.179 eV per atom. The space group is Pm-3m. The energy above the most stable polymorph in this dataset comes out at 0.000 eV per atom.

a = 5.484 Å, b = 5.484 Å, c = 5.484 Å
α = 90.00°, β = 90.00°, γ = 90.00°
Each line ends with the local moment (μB).
Atoms (fractional coordinates):
1 Y 0.000 0.500 0.000  0.04
2 Y 0.000 0.000 0.500  0.04
3 Y 0.500 0.000 0.000  0.05
4 Sc 0.500 0.500 0.500  0.13
5 Ga 0.000 0.000 0.000  -0.01